! Ac2Nd4Ho7, optimized geometry, DFT PBE; values from VASP
! - Calculated formation energy: 0.197 eV per atom
! - V: 455 Å³ per cell
! - Final energy: -4.367 eV per atom
&SYSTEM
  ibrav = 0, nat = 13, ntyp = 3
/
ATOMIC_SPECIES
Ac 227.00 Ac.upf
Nd 144.24 Nd.upf
Ho 164.93 Ho.upf
CELL_PARAMETERS angstrom
6.218 0.000 0.000
-3.109 5.385 0.000
0.000 0.000 13.595
ATOMIC_POSITIONS angstrom
Ac 3.109 1.795 0.000
Ac 0.000 3.590 0.000
Nd 0.000 0.000 8.245
Nd 0.000 0.000 5.350
Nd 3.109 1.795 6.798
Nd 0.000 3.590 6.798
Ho -1.092 1.891 10.655
Ho -2.017 3.493 2.941
Ho 0.000 0.000 0.000
Ho 2.184 0.000 10.655
Ho 4.034 0.000 2.941
Ho 1.092 1.891 2.941
Ho 2.017 3.493 10.655

! NiRuS, optimized geometry, DFT PBE; values from VASP
! - Energy above the most stable polymorph in this dataset: 0.072 eV/atom
! - Energy relative to the elements, uncorrected: -0.08 eV per atom
! - V: 81 Å³ per cell
! - Final energy: -6.471 eV per atom
&SYSTEM
  ibrav = 0, nat = 6, ntyp = 3
/
ATOMIC_SPECIES
Ru 101.07 Ru.upf
S 32.06 S.upf
Ni 58.69 Ni.upf
CELL_PARAMETERS angstrom
4.180 0.000 -0.001
0.000 3.513 0.000
-0.665 0.000 5.544
ATOMIC_POSITIONS angstrom
Ru 3.776 1.757 0.847
Ru 1.698 0.000 1.360
S 2.641 0.000 5.004
S 1.089 1.757 2.652
Ni 1.001 1.757 4.777
Ni 3.809 0.000 3.085

! CuHgSb2C, optimized geometry, DFT PBE; values from VASP
! - Energy relative to the elements, uncorrected: 2.07 eV per atom
! - V: 146 Å³ per cell
! - Final energy: -2.306 eV per atom
&SYSTEM
  ibrav = 0, nat = 5, ntyp = 4
/
ATOMIC_SPECIES
Sb 121.76 Sb.upf
C 12.01 C.upf
Hg 200.59 Hg.upf
Cu 63.55 Cu.upf
CELL_PARAMETERS angstrom
5.499 0.000 0.000
0.000 5.499 0.000
0.000 0.000 4.844
ATOMIC_POSITIONS angstrom
Sb 0.000 2.750 0.000
Sb 2.750 0.000 0.000
C 2.750 2.750 2.422
Hg 0.000 0.000 0.000
Cu 0.000 0.000 2.422

! AgMo3P, optimized geometry, DFT PBE; values from VASP
! - Energy above the most stable polymorph in this dataset: 1.914 eV/atom
! - Calculated formation energy: 2.626 eV per atom
! - V: 110 Å³ per cell
! - Final energy: -5.525 eV per atom
&SYSTEM
  ibrav = 0, nat = 5, ntyp = 3
/
ATOMIC_SPECIES
P 30.97 P.upf
Mo 95.94 Mo.upf
Ag 107.87 Ag.upf
CELL_PARAMETERS angstrom
4.790 0.000 0.000
0.000 4.790 0.000
0.000 0.000 4.790
ATOMIC_POSITIONS angstrom
P 2.395 2.395 2.395
Mo 0.000 2.395 0.000
Mo 0.000 0.000 2.395
Mo 2.395 0.000 0.000
Ag 0.000 0.000 0.000